(1)
Density functional theory data (PBE) for a relaxed PuGaRh crystal.

- space-group type = P2_1/m (11)
- E_tot (eV/cell) = -159.16
- formation energy from the elements (meV/atom) = -606

Cell lengths 4.1421, 7.0251, 11.8654 Å; angles 89.42, 90.00, 90.00 degrees
Last column: magnetic moment on the atom in μB.
Element x y z (fractional)
Pu  0.7500  0.6492  0.0783  5.12
Ga  0.2500  0.9916  0.0861  0.01
Rh  0.7500  0.2261  0.0923  -0.02
Pu  0.7500  0.0258  0.2928  -4.94
Rh  0.2500  0.7739  0.9077  -0.02
Rh  0.7500  0.7653  0.5777  -0.05
Ga  0.7500  0.0084  0.9139  0.01
Ga  0.2500  0.8520  0.4553  0.01
Rh  0.2500  0.7278  0.2448  -0.10
Ga  0.2500  0.3572  0.2037  -0.02
Rh  0.7500  0.2722  0.7552  -0.10
Pu  0.2500  0.3508  0.9217  5.12
Ga  0.7500  0.6428  0.7963  -0.02
Pu  0.7500  0.5249  0.3739  5.07
Ga  0.7500  0.1480  0.5447  0.01
Pu  0.2500  0.9742  0.7072  -4.94
Pu  0.2500  0.4751  0.6261  5.07
Rh  0.2500  0.2347  0.4223  -0.05

(2)
Density functional theory data (PBE) for a relaxed VCoHOs2 crystal.

- space-group type = P4/mmm (123)
- E_tot (eV/cell) = -42.13

Cell lengths 3.8689, 3.8689, 3.6411 Å; angles 90.00, 90.00, 90.00 degrees
Element x y z (fractional)
Os  0.0000  0.5000  0.0000
Os  0.5000  0.0000  0.0000
V  0.5000  0.5000  0.5000
H  0.0000  0.0000  0.0000
Co  0.0000  0.0000  0.5000

(3)
Density functional theory data (PBE) for a relaxed LuUC2 crystal.

- space-group type = R-3m (166)
- E_tot (eV/cell) = -35.57
- formation energy from the elements (meV/atom) = -327

Cell lengths 3.5437, 3.5437, 5.9541 Å; angles 72.69, 72.69, 60.00 degrees
Element x y z (fractional)
Lu  0.5000  0.5000  0.5000
C  0.2592  0.2592  0.2225
C  0.7408  0.7408  0.7775
U  0.0000  0.0000  0.0000

(4)
Density functional theory data (PBE) for a relaxed Li4Np3CrS8 crystal.

- space-group type = R-3m (166)
- E_form (uncorrected) (meV per atom) = -1246
- E_tot (eV/cell) = -109.06

Cell lengths 7.6603, 7.5727, 7.6604 Å; angles 120.39, 120.00, 90.00 degrees
Last column: magnetic moment on the atom in μB.
Element x y z (fractional)
Np  0.5000  0.5000  0.5000  3.74
S  0.2361  0.2548  0.9955  -0.09
S  0.7593  0.2548  0.5187  -0.09
Li  0.0000  0.0000  0.0000  0.00
S  0.7594  0.2548  0.9955  -0.09
S  0.7639  0.7452  0.0045  -0.09
Np  0.5000  0.5000  0.0000  3.74
Cr  0.0000  0.5000  0.0000  3.42
S  0.2407  0.7452  0.4813  -0.09
Li  0.5000  0.0000  0.0000  0.01
Li  0.0000  0.0000  0.5000  0.00
S  0.2406  0.7452  0.0045  -0.09
Li  0.5000  0.0000  0.5000  0.00
Np  0.0000  0.5000  0.5000  3.74
S  0.7523  0.7568  0.5046  -0.09
S  0.2477  0.2432  0.4954  -0.09

(5)
Density functional theory data (PBE) for a relaxed Pm5Ir2Se2 crystal.

- space-group type = Cmce (64)
- E_form (uncorrected) (meV per atom) = -1129
- E_tot (eV/cell) = -117.21

Cell lengths 7.8499, 7.8631, 8.5634 Å; angles 117.33, 90.00, 90.00 degrees
Element x y z (fractional)
Se  0.0000  0.7957  0.5914
Pm  0.3422  0.7126  0.7493
Pm  0.8422  0.7874  0.2507
Ir  0.8631  0.3617  0.0000
Se  0.5000  0.2957  0.5914
Pm  0.8422  0.5367  0.7493
Pm  0.3422  0.9633  0.2507
Pm  0.1578  0.2126  0.7493
Ir  0.1369  0.6383  0.0000
Se  0.5000  0.7043  0.4086
Ir  0.3631  0.1383  0.0000
Pm  0.1578  0.4633  0.2507
Pm  0.5000  0.5000  0.0000
Ir  0.6369  0.8617  0.0000
Pm  0.6578  0.2874  0.2507
Pm  0.0000  0.0000  0.0000
Pm  0.6578  0.0367  0.7493
Se  0.0000  0.2043  0.4086

(6)
Density functional theory data (PBE) for a relaxed Ce2BiN crystal.

- energy above the lowest structure with this stoichiometry (eV/atom) = 0.072
- space-group type = Pnma (62)
- E_form (uncorrected) (meV per atom) = -1071
- E_tot (eV/cell) = -113.43

Cell lengths 4.5524, 7.5395, 11.4927 Å; angles 90.00, 90.00, 90.00 degrees
Last column: magnetic moment on the atom in μB.
Element x y z (fractional)
N  0.2500  0.5444  0.8990  -0.05
Bi  0.7500  0.6382  0.6251  -0.06
N  0.7500  0.4556  0.1010  -0.05
N  0.7500  0.9556  0.3990  -0.05
Ce  0.7500  0.1547  0.5542  0.82
Ce  0.2500  0.8453  0.4458  0.82
Bi  0.2500  0.8618  0.1251  -0.06
Ce  0.7500  0.6142  0.2641  0.86
Ce  0.2500  0.3453  0.0542  0.82
Bi  0.7500  0.1382  0.8749  -0.06
N  0.2500  0.0444  0.6010  -0.05
Ce  0.7500  0.6547  0.9458  0.82
Ce  0.2500  0.8858  0.7641  0.86
Bi  0.2500  0.3618  0.3749  -0.06
Ce  0.2500  0.3858  0.7359  0.86
Ce  0.7500  0.1142  0.2359  0.86

(7)
Density functional theory data (PBE) for a relaxed Tb5Sm8Th crystal.

- space-group type = I-4 (82)
- E_tot (eV/cell) = -64.36
- formation energy from the elements (meV/atom) = 283

Cell lengths 8.5324, 8.5324, 8.5324 Å; angles 110.94, 106.58, 110.94 degrees
Element x y z (fractional)
Sm  0.5721  0.9135  0.8423
Sm  0.5260  0.6049  0.2667
Sm  0.9288  0.0865  0.6586
Sm  0.6618  0.3951  0.9212
Tb  0.5000  0.0000  0.5000
Tb  0.0338  0.3166  0.1295
Th  0.2500  0.5000  0.7500
Sm  0.3414  0.2702  0.4279
Sm  0.1577  0.7298  0.0712
Tb  0.8129  0.6834  0.7172
Sm  0.0788  0.7407  0.4740
Sm  0.7333  0.2593  0.3382
Tb  0.2828  0.0957  0.9662
Tb  0.8705  0.9043  0.1871

(8)
Density functional theory data (PBE) for a relaxed ScTlGa crystal.

- energy above the lowest structure with this stoichiometry (eV/atom) = 0.000
- space-group type = P3m1 (156)
- E_tot (eV/cell) = -12.36
- formation energy from the elements (meV/atom) = -212

Cell lengths 3.6099, 4.5837, 4.5837 Å; angles 120.00, 90.00, 90.00 degrees
Element x y z (fractional)
Tl  0.2886  0.3333  0.6667
Sc  0.6905  0.6667  0.3333
Ga  0.0209  0.0000  0.0000

Which formula does entry 5 have? Pm5Ir2Se2